Mg2Cl3 | SCAN | PBEsol geometry

Properties
- DOS(E_F) (states/eV per cell) = 1.84
- ΔE_f (raw) (eV/atom) = -1.42
- SG = No. 166

Cell and atoms, written as CIF:
```
data_Mg2Cl3
_chemical_formula_sum 'Mg2 Cl3'
_space_group_name_H-M_alt 'P 1'
_space_group_IT_number 1
_space_group_name_Hall 'P 1'
_cell_length_a 3.8937
_cell_length_b 3.8937
_cell_length_c 9.3991
_cell_angle_alpha 78.05
_cell_angle_beta 78.05
_cell_angle_gamma 60.00
loop_
_atom_site_label
_atom_site_type_symbol
_atom_site_fract_x
_atom_site_fract_y
_atom_site_fract_z
Mg1 Mg 0.3929 0.3929 0.8214
Mg2 Mg 0.6071 0.6071 0.1786
Cl1 Cl 0.2293 0.2293 0.3122
Cl2 Cl 0.0000 0.0000 0.0000
Cl3 Cl 0.7707 0.7707 0.6878
```

AuCl2F | SCAN | PBEsol geometry

Properties
- DOS(E_F) (states/eV per cell) = 2.72
- ΔE_f (raw) (eV/atom) = 0.09
- SG = No. 166

Cell and atoms, written as CIF:
```
data_AuCl2F
_chemical_formula_sum 'Au1 Cl2 F1'
_space_group_name_H-M_alt 'P 1'
_space_group_IT_number 1
_space_group_name_Hall 'P 1'
_cell_length_a 3.4298
_cell_length_b 3.4298
_cell_length_c 8.0980
_cell_angle_alpha 77.77
_cell_angle_beta 77.77
_cell_angle_gamma 60.00
loop_
_atom_site_label
_atom_site_type_symbol
_atom_site_fract_x
_atom_site_fract_y
_atom_site_fract_z
F1 F 0.5000 0.5000 0.5000
Cl1 Cl 0.0933 0.0933 0.7200
Cl2 Cl 0.9067 0.9067 0.2800
Au1 Au 0.0000 0.0000 0.0000
```

MgIrRh2 | SCAN | PBEsol geometry

Properties
- DOS(E_F) (states/eV per cell) = 3.48
- SG = No. 8
- ΔE_f (eV/atom) = -0.2744

Cell and atoms, written as CIF:
```
data_MgIrRh2
_chemical_formula_sum 'Mg1 Ir1 Rh2'
_space_group_name_H-M_alt 'P 1'
_space_group_IT_number 1
_space_group_name_Hall 'P 1'
_cell_length_a 2.7355
_cell_length_b 4.6585
_cell_length_c 4.7191
_cell_angle_alpha 99.72
_cell_angle_beta 106.85
_cell_angle_gamma 90.00
loop_
_atom_site_label
_atom_site_type_symbol
_atom_site_fract_x
_atom_site_fract_y
_atom_site_fract_z
Ir1 Ir 0.5070 0.5242 0.0141
Mg1 Mg 0.7491 0.2365 0.4983
Rh1 Rh 0.2499 0.7332 0.4997
Rh2 Rh 0.9940 0.0061 0.9880
```

Sr2Y | SCAN | PBEsol geometry

Properties
- DOS(E_F) (states/eV per cell) = 4.00
- SG = No. 71
- ΔE_f (eV/atom) = 0.2427
- offset from the most stable computed form (eV/atom) = 0.0000

Cell and atoms, written as CIF:
```
data_Sr2Y
_chemical_formula_sum 'Sr2 Y1'
_space_group_name_H-M_alt 'P 1'
_space_group_IT_number 1
_space_group_name_Hall 'P 1'
_cell_length_a 3.8259
_cell_length_b 5.5444
_cell_length_c 6.8112
_cell_angle_alpha 114.02
_cell_angle_beta 106.31
_cell_angle_gamma 90.00
loop_
_atom_site_label
_atom_site_type_symbol
_atom_site_fract_x
_atom_site_fract_y
_atom_site_fract_z
Y1 Y 0.0000 0.0000 0.0000
Sr1 Sr 0.6611 0.6611 0.3222
Sr2 Sr 0.3389 0.3389 0.6778
```

K2BAsOs | SCAN | PBEsol geometry

Properties
- DOS(E_F) (states/eV per cell) = 2.77
- SG = No. 123
- ΔE_f (eV/atom) = 1.4270

Cell and atoms, written as CIF:
```
data_K2BAsOs
_chemical_formula_sum 'K2 B1 As1 Os1'
_space_group_name_H-M_alt 'P 1'
_space_group_IT_number 1
_space_group_name_Hall 'P 1'
_cell_length_a 3.5397
_cell_length_b 6.3626
_cell_length_c 6.3626
_cell_angle_alpha 90.00
_cell_angle_beta 90.00
_cell_angle_gamma 90.00
loop_
_atom_site_label
_atom_site_type_symbol
_atom_site_fract_x
_atom_site_fract_y
_atom_site_fract_z
B1 B 0.5000 0.0000 0.0000
As1 As 0.0000 0.0000 0.0000
K1 K 0.0000 0.5000 0.0000
K2 K 0.0000 0.0000 0.5000
Os1 Os 0.5000 0.5000 0.5000
```

LiMnSbO4 | SCAN | PBEsol geometry

Properties
- DOS(E_F) (states/eV per cell) = 2.60
- ΔE_f (raw) (eV/atom) = -1.85
- SG = No. 74
- offset from the most stable computed form (eV/atom) = 0.0562

Cell and atoms, written as CIF:
```
data_LiMnSbO4
_chemical_formula_sum 'Li2 Mn2 Sb2 O8'
_space_group_name_H-M_alt 'P 1'
_space_group_IT_number 1
_space_group_name_Hall 'P 1'
_cell_length_a 6.1881
_cell_length_b 6.2326
_cell_length_c 6.0919
_cell_angle_alpha 119.26
_cell_angle_beta 90.00
_cell_angle_gamma 119.76
loop_
_atom_site_label
_atom_site_type_symbol
_atom_site_fract_x
_atom_site_fract_y
_atom_site_fract_z
O1 O 0.7569 0.0554 0.7777
O2 O 0.7014 0.9446 0.2223
O3 O 0.7514 0.5029 0.7769
O4 O 0.2486 0.4971 0.7741
O5 O 0.2431 0.9446 0.2223
O6 O 0.2486 0.4971 0.2231
O7 O 0.7514 0.5029 0.2259
O8 O 0.2986 0.0554 0.7777
Li1 Li 0.1013 0.2026 0.3513
Li2 Li 0.8987 0.7974 0.6487
Sb1 Sb 0.5000 0.5000 0.0000
Sb2 Sb 0.0000 0.5000 0.0000
Mn1 Mn 0.5000 0.0000 0.5000
Mn2 Mn 0.5000 0.0000 0.0000
```

> Which formula does entry 1 have?

Mg2Cl3